Ba2Al3PtAu12 | GGA-PBE | optimized geometry

Summary:
DFT total energy, eV/atom: -3.52
Total magnetization, μB per formula unit: 0.00
Symmetry: No. 166
Calculated volume, Å³/f.u.: 460.3

POSCAR file:
```
Ba2Al3PtAu12
1.0
8.580 -0.071 -0.050
4.176 7.496 -0.050
4.176 2.431 7.091
Al Pt Au Ba
3 1 12 2
Direct
0.000 0.500 0.000
0.500 0.000 0.000
0.000 0.000 0.500
0.000 0.000 0.000
0.880 0.350 0.350
0.350 0.350 0.880
0.889 0.368 0.889
0.111 0.632 0.111
0.650 0.650 0.120
0.120 0.650 0.650
0.350 0.880 0.350
0.368 0.889 0.889
0.111 0.111 0.632
0.632 0.111 0.111
0.889 0.889 0.368
0.650 0.120 0.650
0.378 0.378 0.378
0.622 0.622 0.622
```

---

ZnTeMo2 | GGA-PBE | optimized geometry

Summary:
Energy above the lowest structure with this stoichiometry, kcal/mol of atoms: 7.162
DFT total energy, eV/atom: -6.01
Total magnetization, μB per formula unit: 0.00
Formation energy (no corrections), kJ per mole of atoms: 49.6
Symmetry: No. 47
Calculated volume, Å³/f.u.: 69.2

POSCAR file:
```
ZnTeMo2
1.0
-1.667 -0.712 2.845
3.546 -2.591 1.429
1.811 3.556 1.951
Mo Zn Te
2 1 1
Direct
0.500 0.500 0.000
0.000 0.000 0.000
0.000 0.500 0.500
0.500 0.000 0.500
```

---

Ba2HgSe | GGA-PBE | optimized geometry

Summary:
Energy above the lowest structure with this stoichiometry, kcal/mol of atoms: 1.993
DFT total energy, eV/atom: -2.97
Total magnetization, μB per formula unit: 0.00
Formation energy (no corrections), kJ per mole of atoms: -102.3
Symmetry: No. 8
Calculated volume, Å³/f.u.: 149.6

POSCAR file:
```
Ba2HgSe
1.0
-1.974 -1.593 6.300
-2.150 -5.221 3.774
4.983 -1.127 1.269
Hg Se Ba
1 1 2
Direct
0.482 0.482 0.625
0.265 0.265 0.125
0.751 0.751 0.625
0.002 0.002 0.125
```